No. 1
## InWCl2 (PBE-GGA)

Data for crystalline InWCl2 at its relaxed geometry.

## Properties
- energy above the most stable polymorph in this dataset (meV per atom) = 29
- energy (eV/atom) = -4.86
- density of states at the Fermi level (states/eV per atom) = 0.30
- magnetic moment (μB per cell) = 1.44
- SG = C2/m, No. 12

```
InWCl2
1.0
7.102 -1.517 0.000
7.102 1.517 0.000
-1.743 0.000 4.883
In W Cl
1 1 2
direct
0.000 0.000 0.000
0.500 0.500 0.500
0.149 0.149 0.656
0.851 0.851 0.344
```

---

No. 2
## InW2Cl (PBE-GGA)

Data for crystalline InW2Cl at its relaxed geometry.

## Properties
- energy above the most stable polymorph in this dataset (meV per atom) = 119
- energy (eV/atom) = -7.34
- density of states at the Fermi level (states/eV per atom) = 1.06
- magnetic moment (μB per cell) = 0.00
- SG = R3m, No. 160

```
InW2Cl
1.0
1.610 0.930 9.849
-1.610 0.930 9.849
0.000 -1.860 9.849
In W Cl
1 2 1
direct
0.000 0.000 0.000
0.247 0.247 0.247
0.522 0.522 0.522
0.791 0.791 0.791
```

---

No. 3
## InWCl2 (PBE-GGA)

Data for crystalline InWCl2 at its relaxed geometry.

## Properties
- energy above the most stable polymorph in this dataset (meV per atom) = 124
- energy (eV/atom) = -4.77
- density of states at the Fermi level (states/eV per atom) = 0.55
- magnetic moment (μB per cell) = 1.17
- SG = Cmmm, No. 65

```
InWCl2
1.0
1.504 -2.939 0.000
1.504 2.939 0.000
0.000 0.000 10.033
In W Cl
1 1 2
direct
0.000 0.000 0.000
0.000 0.000 0.500
0.500 0.500 0.306
0.500 0.500 0.694
```

---

No. 4
## InW2Cl (PBE-GGA)

Data for crystalline InW2Cl at its relaxed geometry.

## Properties
- energy above the most stable polymorph in this dataset (meV per atom) = 936
- energy (eV/atom) = -6.52
- density of states at the Fermi level (states/eV per atom) = 0.86
- magnetic moment (μB per cell) = 0.00
- SG = P4/mmm, No. 123

```
InW2Cl
1.0
2.835 0.000 0.000
0.000 2.835 0.000
0.000 0.000 8.763
In W Cl
1 2 1
direct
0.000 0.000 0.000
0.500 0.500 0.257
0.500 0.500 0.743
0.000 0.000 0.500
```

---

No. 5
## In2WCl (PBE-GGA)

Data for crystalline In2WCl at its relaxed geometry.

## Properties
- energy above the most stable polymorph in this dataset (meV per atom) = 730
- energy (eV/atom) = -4.14
- density of states at the Fermi level (states/eV per atom) = 1.35
- magnetic moment (μB per cell) = 2.44
- SG = Fm-3m, No. 225

```
In2WCl
1.0
0.000 3.555 3.555
3.555 0.000 3.555
3.555 3.555 0.000
In W Cl
2 1 1
direct
0.250 0.250 0.250
0.750 0.750 0.750
0.000 0.000 0.000
0.500 0.500 0.500
```

---

No. 6
## ZnInWCl2 (PBE-GGA)

Data for crystalline ZnInWCl2 at its relaxed geometry.

## Properties
- energy (eV/atom) = -3.88
- density of states at the Fermi level (states/eV per atom) = 0.57
- magnetic moment (μB per cell) = 0.00
- SG = P4/mmm, No. 123

```
ZnInWCl2
1.0
4.653 0.000 0.000
0.000 4.653 0.000
0.000 0.000 5.765
Zn In W Cl
1 1 1 2
direct
0.000 0.000 0.000
0.500 0.500 0.000
0.500 0.500 0.500
0.000 0.500 0.500
0.500 0.000 0.500
```

---

Number 1: E_form (uncorrected) -0.02 eV per atom. Number 2: E_form (uncorrected) 0.29 eV per atom. Number 3: E_form (uncorrected) 0.08 eV per atom. Number 4: E_form (uncorrected) 1.10 eV per atom. Number 5: E_form (uncorrected) 0.93 eV per atom. Number 6: E_form (uncorrected) 0.25 eV per atom.